1:
# HfMgSiNi (PBE-GGA, optimized geometry)
data_HfMgSiNi
_space_group_name_H-M_alt 'F -4 3 m'
_space_group_IT_number 216
_space_group_name_Hall 'F -4 2 3'
_cell_length_a 6.284
_cell_length_b 6.284
_cell_length_c 6.284
_cell_angle_alpha 90.00
_cell_angle_beta 90.00
_cell_angle_gamma 90.00
loop_
_atom_site_label
_atom_site_type_symbol
_atom_site_fract_x
_atom_site_fract_y
_atom_site_fract_z
Hf1 Hf 0.000 0.000 0.000
Mg1 Mg 0.250 0.250 0.750
Si1 Si 0.250 0.250 0.250
Ni1 Ni 0.000 0.000 0.500
# M_tot: 0.0 μB/cell
# crystal system: cubic

=====

2:
# HfMgSiNi (PBE-GGA, optimized geometry)
data_HfMgSiNi
_space_group_name_H-M_alt 'F -4 3 m'
_space_group_IT_number 216
_space_group_name_Hall 'F -4 2 3'
_cell_length_a 6.273
_cell_length_b 6.273
_cell_length_c 6.273
_cell_angle_alpha 90.00
_cell_angle_beta 90.00
_cell_angle_gamma 90.00
loop_
_atom_site_label
_atom_site_type_symbol
_atom_site_fract_x
_atom_site_fract_y
_atom_site_fract_z
Hf1 Hf 0.000 0.000 0.000
Mg1 Mg 0.250 0.250 0.250
Si1 Si 0.000 0.000 0.500
Ni1 Ni 0.250 0.250 0.750
# M_tot: 0.0 μB/cell
# crystal system: cubic

=====

Which one is most stable, and which one is least stable? 1 is the most stable of them, while 2 is the least stable.

=====

1:
# HfMgTlNi (PBE-GGA, optimized geometry)
data_HfMgTlNi
_space_group_name_H-M_alt 'F -4 3 m'
_space_group_IT_number 216
_space_group_name_Hall 'F -4 2 3'
_cell_length_a 6.602
_cell_length_b 6.602
_cell_length_c 6.602
_cell_angle_alpha 90.00
_cell_angle_beta 90.00
_cell_angle_gamma 90.00
loop_
_atom_site_label
_atom_site_type_symbol
_atom_site_fract_x
_atom_site_fract_y
_atom_site_fract_z
Hf1 Hf 0.000 0.000 0.000
Mg1 Mg 0.250 0.250 0.250
Tl1 Tl 0.000 0.000 0.500
Ni1 Ni 0.250 0.250 0.750
# M_tot: 0.0 μB/cell
# crystal system: cubic

=====

2:
# HfMgTlNi (PBE-GGA, optimized geometry)
data_HfMgTlNi
_space_group_name_H-M_alt 'F -4 3 m'
_space_group_IT_number 216
_space_group_name_Hall 'F -4 2 3'
_cell_length_a 6.702
_cell_length_b 6.702
_cell_length_c 6.702
_cell_angle_alpha 90.00
_cell_angle_beta 90.00
_cell_angle_gamma 90.00
loop_
_atom_site_label
_atom_site_type_symbol
_atom_site_fract_x
_atom_site_fract_y
_atom_site_fract_z
Hf1 Hf 0.000 0.000 0.000
Mg1 Mg 0.250 0.250 0.750
Tl1 Tl 0.250 0.250 0.250
Ni1 Ni 0.000 0.000 0.500
# M_tot: 0.5 μB/cell
# crystal system: cubic

=====

Which one is most stable, and which one is least stable? 1 is the most stable of them, while 2 is the least stable.

=====

1:
# HfMgZnNi (PBE-GGA, optimized geometry)
data_HfMgZnNi
_space_group_name_H-M_alt 'F -4 3 m'
_space_group_IT_number 216
_space_group_name_Hall 'F -4 2 3'
_cell_length_a 6.361
_cell_length_b 6.361
_cell_length_c 6.361
_cell_angle_alpha 90.00
_cell_angle_beta 90.00
_cell_angle_gamma 90.00
loop_
_atom_site_label
_atom_site_type_symbol
_atom_site_fract_x
_atom_site_fract_y
_atom_site_fract_z
Hf1 Hf 0.000 0.000 0.000
Mg1 Mg 0.000 0.000 0.500
Zn1 Zn 0.250 0.250 0.250
Ni1 Ni 0.250 0.250 0.750
# M_tot: 0.0 μB/cell
# crystal system: cubic

=====

2:
# HfMgZnNi (PBE-GGA, optimized geometry)
data_HfMgZnNi
_space_group_name_H-M_alt 'F -4 3 m'
_space_group_IT_number 216
_space_group_name_Hall 'F -4 2 3'
_cell_length_a 6.291
_cell_length_b 6.291
_cell_length_c 6.291
_cell_angle_alpha 90.00
_cell_angle_beta 90.00
_cell_angle_gamma 90.00
loop_
_atom_site_label
_atom_site_type_symbol
_atom_site_fract_x
_atom_site_fract_y
_atom_site_fract_z
Hf1 Hf 0.000 0.000 0.000
Mg1 Mg 0.250 0.250 0.250
Zn1 Zn 0.000 0.000 0.500
Ni1 Ni 0.250 0.250 0.750
# M_tot: 0.0 μB/cell
# crystal system: cubic

=====

3:
# HfMgZnNi (PBE-GGA, optimized geometry)
data_HfMgZnNi
_space_group_name_H-M_alt 'F -4 3 m'
_space_group_IT_number 216
_space_group_name_Hall 'F -4 2 3'
_cell_length_a 6.321
_cell_length_b 6.321
_cell_length_c 6.321
_cell_angle_alpha 90.00
_cell_angle_beta 90.00
_cell_angle_gamma 90.00
loop_
_atom_site_label
_atom_site_type_symbol
_atom_site_fract_x
_atom_site_fract_y
_atom_site_fract_z
Hf1 Hf 0.000 0.000 0.000
Mg1 Mg 0.250 0.250 0.750
Zn1 Zn 0.250 0.250 0.250
Ni1 Ni 0.000 0.000 0.500
# M_tot: 0.0 μB/cell
# crystal system: cubic

=====

Which one is most stable, and which one is least stable? 1 is the most stable of them, while 3 is the least stable.

=====

1:
# HfMgOsPb (PBE-GGA, optimized geometry)
data_HfMgOsPb
_space_group_name_H-M_alt 'F -4 3 m'
_space_group_IT_number 216
_space_group_name_Hall 'F -4 2 3'
_cell_length_a 6.718
_cell_length_b 6.718
_cell_length_c 6.718
_cell_angle_alpha 90.00
_cell_angle_beta 90.00
_cell_angle_gamma 90.00
loop_
_atom_site_label
_atom_site_type_symbol
_atom_site_fract_x
_atom_site_fract_y
_atom_site_fract_z
Hf1 Hf 0.000 0.000 0.000
Mg1 Mg 0.250 0.250 0.750
Os1 Os 0.000 0.000 0.500
Pb1 Pb 0.250 0.250 0.250
# M_tot: 0.0 μB/cell
# crystal system: cubic

=====

2:
# HfMgOsPb (PBE-GGA, optimized geometry)
data_HfMgOsPb
_space_group_name_H-M_alt 'F -4 3 m'
_space_group_IT_number 216
_space_group_name_Hall 'F -4 2 3'
_cell_length_a 6.686
_cell_length_b 6.686
_cell_length_c 6.686
_cell_angle_alpha 90.00
_cell_angle_beta 90.00
_cell_angle_gamma 90.00
loop_
_atom_site_label
_atom_site_type_symbol
_atom_site_fract_x
_atom_site_fract_y
_atom_site_fract_z
Hf1 Hf 0.000 0.000 0.000
Mg1 Mg 0.250 0.250 0.250
Os1 Os 0.250 0.250 0.750
Pb1 Pb 0.000 0.000 0.500
# M_tot: 0.0 μB/cell
# crystal system: cubic

=====

Which one is most stable, and which one is least stable? 2 is the most stable of them, while 1 is the least stable.

=====

1:
# HfMgSiOs (PBE-GGA, optimized geometry)
data_HfMgSiOs
_space_group_name_H-M_alt 'F -4 3 m'
_space_group_IT_number 216
_space_group_name_Hall 'F -4 2 3'
_cell_length_a 6.317
_cell_length_b 6.317
_cell_length_c 6.317
_cell_angle_alpha 90.00
_cell_angle_beta 90.00
_cell_angle_gamma 90.00
loop_
_atom_site_label
_atom_site_type_symbol
_atom_site_fract_x
_atom_site_fract_y
_atom_site_fract_z
Hf1 Hf 0.000 0.000 0.000
Mg1 Mg 0.250 0.250 0.250
Si1 Si 0.000 0.000 0.500
Os1 Os 0.250 0.250 0.750
# M_tot: 0.0 μB/cell
# crystal system: cubic

=====

2:
# HfMgSiOs (PBE-GGA, optimized geometry)
data_HfMgSiOs
_space_group_name_H-M_alt 'F -4 3 m'
_space_group_IT_number 216
_space_group_name_Hall 'F -4 2 3'
_cell_length_a 6.390
_cell_length_b 6.390
_cell_length_c 6.390
_cell_angle_alpha 90.00
_cell_angle_beta 90.00
_cell_angle_gamma 90.00
loop_
_atom_site_label
_atom_site_type_symbol
_atom_site_fract_x
_atom_site_fract_y
_atom_site_fract_z
Hf1 Hf 0.000 0.000 0.000
Mg1 Mg 0.000 0.000 0.500
Si1 Si 0.250 0.250 0.750
Os1 Os 0.250 0.250 0.250
# M_tot: 0.0 μB/cell
# crystal system: cubic

=====

3:
# HfMgSiOs (PBE-GGA, optimized geometry)
data_HfMgSiOs
_space_group_name_H-M_alt 'F -4 3 m'
_space_group_IT_number 216
_space_group_name_Hall 'F -4 2 3'
_cell_length_a 6.325
_cell_length_b 6.325
_cell_length_c 6.325
_cell_angle_alpha 90.00
_cell_angle_beta 90.00
_cell_angle_gamma 90.00
loop_
_atom_site_label
_atom_site_type_symbol
_atom_site_fract_x
_atom_site_fract_y
_atom_site_fract_z
Hf1 Hf 0.000 0.000 0.000
Mg1 Mg 0.250 0.250 0.750
Si1 Si 0.250 0.250 0.250
Os1 Os 0.000 0.000 0.500
# M_tot: 0.0 μB/cell
# crystal system: cubic

=====

Which one is most stable, and which one is least stable? 1 is the most stable of them, while 3 is the least stable.

=====

1:
# PrHfMg (PBE-GGA, optimized geometry)
data_PrHfMg
_space_group_name_H-M_alt 'F -4 3 m'
_space_group_IT_number 216
_space_group_name_Hall 'F -4 2 3'
_cell_length_a 7.124
_cell_length_b 7.124
_cell_length_c 7.124
_cell_angle_alpha 90.00
_cell_angle_beta 90.00
_cell_angle_gamma 90.00
loop_
_atom_site_label
_atom_site_type_symbol
_atom_site_fract_x
_atom_site_fract_y
_atom_site_fract_z
Pr1 Pr 0.000 0.000 0.000
Hf1 Hf 0.000 0.000 0.500
Mg1 Mg 0.250 0.250 0.750
# M_tot: 1.6 μB/cell
# crystal system: cubic

=====

2:
# PrHfMg (PBE-GGA, optimized geometry)
data_PrHfMg
_space_group_name_H-M_alt 'F -4 3 m'
_space_group_IT_number 216
_space_group_name_Hall 'F -4 2 3'
_cell_length_a 7.250
_cell_length_b 7.250
_cell_length_c 7.250
_cell_angle_alpha 90.00
_cell_angle_beta 90.00
_cell_angle_gamma 90.00
loop_
_atom_site_label
_atom_site_type_symbol
_atom_site_fract_x
_atom_site_fract_y
_atom_site_fract_z
Pr1 Pr 0.000 0.000 0.000
Hf1 Hf 0.250 0.250 0.750
Mg1 Mg 0.250 0.250 0.250
# M_tot: 3.4 μB/cell
# crystal system: cubic

=====

Which one is most stable, and which one is least stable? 1 is the most stable of them, while 2 is the least stable.

=====

1:
# SrHfMgPt (PBE-GGA, optimized geometry)
data_SrHfMgPt
_space_group_name_H-M_alt 'F -4 3 m'
_space_group_IT_number 216
_space_group_name_Hall 'F -4 2 3'
_cell_length_a 7.149
_cell_length_b 7.149
_cell_length_c 7.149
_cell_angle_alpha 90.00
_cell_angle_beta 90.00
_cell_angle_gamma 90.00
loop_
_atom_site_label
_atom_site_type_symbol
_atom_site_fract_x
_atom_site_fract_y
_atom_site_fract_z
Sr1 Sr 0.000 0.000 0.000
Hf1 Hf 0.000 0.000 0.500
Mg1 Mg 0.250 0.250 0.250
Pt1 Pt 0.250 0.250 0.750
# M_tot: 0.0 μB/cell
# crystal system: cubic

=====

2:
# SrHfMgPt (PBE-GGA, optimized geometry)
data_SrHfMgPt
_space_group_name_H-M_alt 'F -4 3 m'
_space_group_IT_number 216
_space_group_name_Hall 'F -4 2 3'
_cell_length_a 6.931
_cell_length_b 6.931
_cell_length_c 6.931
_cell_angle_alpha 90.00
_cell_angle_beta 90.00
_cell_angle_gamma 90.00
loop_
_atom_site_label
_atom_site_type_symbol
_atom_site_fract_x
_atom_site_fract_y
_atom_site_fract_z
Sr1 Sr 0.000 0.000 0.000
Hf1 Hf 0.250 0.250 0.750
Mg1 Mg 0.250 0.250 0.250
Pt1 Pt 0.000 0.000 0.500
# M_tot: 0.0 μB/cell
# crystal system: cubic

=====

Which one is most stable, and which one is least stable? 2 is the most stable of them, while 1 is the least stable.